(1)
Y2V3O9: relaxed, GGA-PBEsol.

Cell: 15.940 7.439 5.177 Å, 90.00 90.00 90.00°
Atoms (fractional coordinates):
Y: 0.015 0.250 0.010
Y: 0.186 0.250 0.491
Y: 0.314 0.750 0.991
Y: 0.485 0.750 0.510
Y: 0.515 0.250 0.490
Y: 0.686 0.250 0.009
Y: 0.814 0.750 0.509
Y: 0.985 0.750 0.990
V: 0.000 0.000 0.500
V: 0.000 0.500 0.500
V: 0.168 0.506 0.000
V: 0.168 0.994 0.000
V: 0.332 0.006 0.500
V: 0.332 0.494 0.500
V: 0.500 0.000 0.000
V: 0.500 0.500 0.000
V: 0.668 0.506 0.500
V: 0.668 0.994 0.500
V: 0.832 0.006 0.000
V: 0.832 0.494 0.000
O: 0.008 0.750 0.426
O: 0.065 0.526 0.807
O: 0.065 0.974 0.807
O: 0.096 0.058 0.290
O: 0.096 0.442 0.290
O: 0.158 0.250 0.914
O: 0.167 0.750 0.057
O: 0.240 0.530 0.719
O: 0.240 0.970 0.719
O: 0.260 0.030 0.219
O: 0.260 0.470 0.219
O: 0.333 0.250 0.557
O: 0.342 0.750 0.414
O: 0.404 0.558 0.790
O: 0.404 0.942 0.790
O: 0.435 0.026 0.307
O: 0.435 0.474 0.307
O: 0.492 0.250 0.926
O: 0.508 0.750 0.074
O: 0.565 0.526 0.693
O: 0.565 0.974 0.693
O: 0.596 0.058 0.210
O: 0.596 0.442 0.210
O: 0.658 0.250 0.586
O: 0.667 0.750 0.443
O: 0.740 0.530 0.781
O: 0.740 0.970 0.781
O: 0.760 0.030 0.281
O: 0.760 0.470 0.281
O: 0.833 0.250 0.943
O: 0.842 0.750 0.086
O: 0.904 0.558 0.710
O: 0.904 0.942 0.710
O: 0.935 0.026 0.193
O: 0.935 0.474 0.193
O: 0.992 0.250 0.574

Properties
SG: Pnma
Uncorrected formation energy, eV per atom: -2.8571
Spin magnetization, μB per atom: 0.00



(2)
Y2VO5: relaxed, GGA-PBEsol.

Cell: 8.226 8.226 10.207 Å, 118.76 118.76 48.54°
Atoms (fractional coordinates):
Y: 0.011 0.723 0.169
Y: 0.208 0.728 0.545
Y: 0.272 0.792 0.955
Y: 0.277 0.989 0.331
Y: 0.723 0.011 0.669
Y: 0.728 0.208 0.045
Y: 0.792 0.272 0.455
Y: 0.989 0.277 0.831
V: 0.218 0.410 0.686
V: 0.410 0.218 0.186
V: 0.590 0.782 0.814
V: 0.782 0.590 0.314
O: 0.037 0.349 0.666
O: 0.079 0.699 0.692
O: 0.083 0.876 0.097
O: 0.124 0.917 0.403
O: 0.224 0.363 0.039
O: 0.301 0.921 0.808
O: 0.349 0.037 0.166
O: 0.363 0.224 0.539
O: 0.403 0.439 0.352
O: 0.439 0.403 0.852
O: 0.561 0.597 0.148
O: 0.597 0.561 0.648
O: 0.637 0.776 0.461
O: 0.651 0.963 0.834
O: 0.699 0.079 0.192
O: 0.776 0.637 0.961
O: 0.876 0.083 0.597
O: 0.917 0.124 0.903
O: 0.921 0.301 0.308
O: 0.963 0.651 0.334

Properties
SG: C2/c
Uncorrected formation energy, eV per atom: -3.1372
Spin magnetization, μB per atom: 0.13



(3)
V2Zn3O8: relaxed, GGA-PBEsol.

Cell: 6.511 6.511 8.252 Å, 90.00 90.00 124.66°
Atoms (fractional coordinates):
V: 0.122 0.878 0.880
V: 0.378 0.622 0.380
V: 0.622 0.378 0.620
V: 0.878 0.122 0.120
Zn: 0.000 0.000 0.500
Zn: 0.114 0.386 0.750
Zn: 0.386 0.114 0.250
Zn: 0.500 0.500 0.000
Zn: 0.614 0.886 0.750
Zn: 0.886 0.614 0.250
O: 0.000 0.000 0.254
O: 0.000 0.000 0.746
O: 0.111 0.348 0.001
O: 0.152 0.389 0.499
O: 0.250 0.750 0.273
O: 0.250 0.750 0.773
O: 0.348 0.111 0.999
O: 0.389 0.152 0.501
O: 0.500 0.500 0.246
O: 0.500 0.500 0.754
O: 0.611 0.848 0.499
O: 0.652 0.889 0.001
O: 0.750 0.250 0.227
O: 0.750 0.250 0.727
O: 0.848 0.611 0.501
O: 0.889 0.652 0.999

Properties
SG: Cmce
Uncorrected formation energy, eV per atom: -1.9303
Spin magnetization, μB per atom: 0.00



(4)
V3ZnO7: relaxed, GGA-PBEsol.

Cell: 9.998 10.036 5.325 Å, 90.00 90.00 90.00°
Atoms (fractional coordinates):
V: 0.188 0.030 0.236
V: 0.188 0.470 0.236
V: 0.221 0.250 0.727
V: 0.279 0.750 0.227
V: 0.312 0.530 0.736
V: 0.312 0.970 0.736
V: 0.688 0.030 0.264
V: 0.688 0.470 0.264
V: 0.721 0.250 0.773
V: 0.779 0.750 0.273
V: 0.812 0.530 0.764
V: 0.812 0.970 0.764
Zn: 0.056 0.750 0.608
Zn: 0.444 0.250 0.108
Zn: 0.556 0.750 0.892
Zn: 0.944 0.250 0.392
O: 0.037 0.096 0.238
O: 0.037 0.404 0.238
O: 0.057 0.250 0.713
O: 0.208 0.621 0.473
O: 0.208 0.879 0.473
O: 0.220 0.614 0.006
O: 0.220 0.886 0.006
O: 0.280 0.114 0.506
O: 0.280 0.386 0.506
O: 0.292 0.121 0.973
O: 0.292 0.379 0.973
O: 0.443 0.750 0.213
O: 0.463 0.596 0.738
O: 0.463 0.904 0.738
O: 0.537 0.096 0.262
O: 0.537 0.404 0.262
O: 0.557 0.250 0.787
O: 0.708 0.621 0.027
O: 0.708 0.879 0.027
O: 0.720 0.614 0.494
O: 0.720 0.886 0.494
O: 0.780 0.114 0.994
O: 0.780 0.386 0.994
O: 0.792 0.121 0.527
O: 0.792 0.379 0.527
O: 0.943 0.750 0.287
O: 0.963 0.596 0.762
O: 0.963 0.904 0.762

Properties
SG: Pnma
Uncorrected formation energy, eV per atom: -2.1123
Spin magnetization, μB per atom: 0.27



(5)
V2Zn2O7: relaxed, GGA-PBEsol.

Cell: 5.329 5.329 4.987 Å, 98.40 98.40 105.89°
Atoms (fractional coordinates):
V: 0.242 0.242 0.397
V: 0.758 0.758 0.603
Zn: 0.315 0.685 0.000
Zn: 0.685 0.315 0.000
O: 0.000 0.000 0.500
O: 0.056 0.391 0.208
O: 0.391 0.056 0.208
O: 0.426 0.426 0.723
O: 0.574 0.574 0.277
O: 0.609 0.944 0.792
O: 0.944 0.609 0.792

Properties
SG: C2/m
Uncorrected formation energy, eV per atom: -2.0058
Spin magnetization, μB per atom: 0.00



(6)
V2Zn2O7: relaxed, GGA-PBEsol.

Cell: 5.585 5.585 10.100 Å, 104.19 104.19 95.39°
Atoms (fractional coordinates):
V: 0.002 0.515 0.707
V: 0.485 0.998 0.793
V: 0.515 0.002 0.207
V: 0.998 0.485 0.293
Zn: 0.250 0.401 0.022
Zn: 0.401 0.250 0.522
Zn: 0.599 0.750 0.478
Zn: 0.750 0.599 0.978
O: 0.013 0.553 0.138
O: 0.140 0.308 0.617
O: 0.184 0.816 0.750
O: 0.292 0.485 0.396
O: 0.308 0.140 0.117
O: 0.447 0.987 0.362
O: 0.485 0.292 0.896
O: 0.515 0.708 0.104
O: 0.553 0.013 0.638
O: 0.692 0.860 0.883
O: 0.708 0.515 0.604
O: 0.816 0.184 0.250
O: 0.860 0.692 0.383
O: 0.987 0.447 0.862

Properties
SG: C2/c
Uncorrected formation energy, eV per atom: -2.0266
Spin magnetization, μB per atom: 0.00



Result set for calculated volume: 613.9; 439.6; 287.7; 534.3; 132.2; 292.1 Å³/cell, one per record in the order listed.